Density functional theory data (PBE+U) for a geometry-optimized CoHO2 structure.

Values from the calculation:
Size of the total moment = 0.00 μB per cell
E_tot = -67.342 eV/cell
DOS(E_F) = 0.000 states/eV per atom

a = 2.8819 Å, b = 2.8819 Å, c = 13.0401 Å
α = 90.00°, β = 90.00°, γ = 120.00°
Space group R3m (No. 160, hexagonal axes)
Unique sites:
1 Co 0.0000 0.0000 0.0000 [3 per cell]
2 H 0.0000 0.0000 0.5004 [3 per cell]
3 O 0.0000 0.0000 0.4073 [3 per cell]
4 O 0.0000 0.0000 0.5926 [3 per cell]